First-principles (PBE-GGA) data for a relaxed AgPtSO crystal, as listed in OQMD.

Calculated values
Uncorrected energy = -4.501 eV/atom
Symmetry = Pca2_1, No. 29
Total magnetization = 0.01 μB per cell

Lattice parameters (Å, degrees): 6.0601 8.3304 5.1462 90.00 90.00 90.00
Element x y z (fractional)
Ag 0.5206 0.3347 0.4685
Ag 0.0206 0.6653 0.4685
Ag 0.9794 0.3347 0.9685
Ag 0.4794 0.6653 0.9685
O 0.6352 0.0229 0.2574
O 0.1352 0.9771 0.2574
O 0.8648 0.0229 0.7574
O 0.3648 0.9771 0.7574
Pt 0.3497 0.1275 0.0693
Pt 0.8497 0.8725 0.0693
Pt 0.1503 0.1275 0.5693
Pt 0.6503 0.8725 0.5693
S 0.9449 0.3446 0.4548
S 0.4449 0.6554 0.4548
S 0.5551 0.3446 0.9548
S 0.0551 0.6554 0.9548



First-principles (PBE-GGA) data for a relaxed AgPtSO crystal, as listed in OQMD.

Calculated values
Uncorrected energy = -4.292 eV/atom
Symmetry = P4/nmm, No. 129
Total magnetization = 0.01 μB per cell

Lattice parameters (Å, degrees): 3.8687 3.8687 9.3202 90.00 90.00 90.00
Element x y z (fractional)
Ag 0.7500 0.7500 0.1406
Ag 0.2500 0.2500 0.8594
O 0.7500 0.2500 0.5000
O 0.2500 0.7500 0.5000
Pt 0.2500 0.2500 0.4035
Pt 0.7500 0.7500 0.5965
S 0.2500 0.2500 0.1585
S 0.7500 0.7500 0.8415



First-principles (PBE-GGA) data for a relaxed AgPtSO crystal, as listed in OQMD.

Calculated values
Uncorrected energy = -4.597 eV/atom
Symmetry = Pca2_1, No. 29
Total magnetization = 0.01 μB per cell

Lattice parameters (Å, degrees): 6.1307 6.9701 5.8338 90.00 90.00 90.00
Element x y z (fractional)
Ag 0.1916 0.1572 0.3925
Ag 0.6916 0.8428 0.3925
Ag 0.3084 0.1572 0.8925
Ag 0.8084 0.8428 0.8925
O 0.8077 0.1279 0.2704
O 0.3077 0.8721 0.2704
O 0.6923 0.1279 0.7704
O 0.1923 0.8721 0.7704
Pt 0.6180 0.3096 0.4728
Pt 0.1180 0.6904 0.4728
Pt 0.8820 0.3096 0.9728
Pt 0.3820 0.6904 0.9728
S 0.5182 0.4077 0.1144
S 0.0182 0.5923 0.1144
S 0.9818 0.4077 0.6144
S 0.4818 0.5923 0.6144



First-principles (PBE-GGA) data for a relaxed AgPtSO crystal, as listed in OQMD.

Calculated values
Uncorrected energy = -4.138 eV/atom
Symmetry = P4/nmm, No. 129
Total magnetization = 0.05 μB per cell

Lattice parameters (Å, degrees): 3.6669 3.6669 9.4685 90.00 90.00 90.00
Element x y z (fractional)
Ag 0.2500 0.2500 0.3791
Ag 0.7500 0.7500 0.6209
O 0.7500 0.2500 0.5000
O 0.2500 0.7500 0.5000
Pt 0.7500 0.7500 0.1310
Pt 0.2500 0.2500 0.8690
S 0.2500 0.2500 0.1207
S 0.7500 0.7500 0.8793



First-principles (PBE-GGA) data for a relaxed AgPtSO crystal, as listed in OQMD.

Calculated values
Uncorrected energy = -4.204 eV/atom
Symmetry = P4/nmm, No. 129
Total magnetization = 0.00 μB per cell

Lattice parameters (Å, degrees): 4.0357 4.0357 8.3219 90.00 90.00 90.00
Element x y z (fractional)
Ag 0.7500 0.7500 0.1662
Ag 0.2500 0.2500 0.8338
O 0.2500 0.2500 0.1001
O 0.7500 0.7500 0.8999
Pt 0.2500 0.2500 0.3319
Pt 0.7500 0.7500 0.6681
S 0.7500 0.2500 0.5000
S 0.2500 0.7500 0.5000



First-principles (PBE-GGA) data for a relaxed AgPtSeO crystal, as listed in OQMD.

Calculated values
Uncorrected energy = -4.418 eV/atom
Symmetry = Pca2_1, No. 29
Total magnetization = 0.01 μB per cell

Lattice parameters (Å, degrees): 6.2063 7.2452 5.9527 90.00 90.00 90.00
Element x y z (fractional)
Ag 0.3026 0.1568 0.1327
Ag 0.8026 0.8432 0.1327
Ag 0.1974 0.1568 0.6327
Ag 0.6974 0.8432 0.6327
O 0.6940 0.1249 0.2192
O 0.1940 0.8751 0.2192
O 0.8060 0.1249 0.7192
O 0.3060 0.8751 0.7192
Pt 0.8827 0.2959 0.0145
Pt 0.3827 0.7041 0.0145
Pt 0.6173 0.2959 0.5145
Pt 0.1173 0.7041 0.5145
Se 0.9895 0.4041 0.3835
Se 0.4895 0.5959 0.3835
Se 0.5105 0.4041 0.8835
Se 0.0105 0.5959 0.8835



First-principles (PBE-GGA) data for a relaxed AgPtSeO crystal, as listed in OQMD.

Calculated values
Uncorrected energy = -4.084 eV/atom
Symmetry = P4/nmm, No. 129
Total magnetization = 0.00 μB per cell

Lattice parameters (Å, degrees): 4.2133 4.2133 8.1776 90.00 90.00 90.00
Element x y z (fractional)
Ag 0.2500 0.2500 0.1863
Ag 0.7500 0.7500 0.8137
O 0.7500 0.7500 0.0803
O 0.2500 0.2500 0.9197
Pt 0.7500 0.7500 0.3125
Pt 0.2500 0.2500 0.6875
Se 0.7500 0.2500 0.5000
Se 0.2500 0.7500 0.5000



First-principles (PBE-GGA) data for a relaxed AgPtSeO crystal, as listed in OQMD.

Calculated values
Uncorrected energy = -4.243 eV/atom
Symmetry = P4/nmm, No. 129
Total magnetization = 0.01 μB per cell

Lattice parameters (Å, degrees): 3.8476 3.8476 8.7298 90.00 90.00 90.00
Element x y z (fractional)
Ag 0.7500 0.2500 0.0000
Ag 0.2500 0.7500 0.0000
O 0.2500 0.2500 0.4977
O 0.7500 0.7500 0.5023
Pt 0.7500 0.7500 0.2523
Pt 0.2500 0.2500 0.7477
Se 0.2500 0.2500 0.3043
Se 0.7500 0.7500 0.6957



First-principles (PBE-GGA) data for a relaxed AgPtSeO crystal, as listed in OQMD.

Calculated values
Uncorrected energy = -4.357 eV/atom
Symmetry = Pca2_1, No. 29
Total magnetization = 0.01 μB per cell

Lattice parameters (Å, degrees): 6.0772 8.5974 5.2595 90.00 90.00 90.00
Element x y z (fractional)
Ag 0.4742 0.3398 0.4566
Ag 0.9742 0.6602 0.4566
Ag 0.0258 0.3398 0.9566
Ag 0.5258 0.6602 0.9566
O 0.6374 0.0224 0.2692
O 0.1374 0.9776 0.2692
O 0.8626 0.0224 0.7692
O 0.3626 0.9776 0.7692
Pt 0.3534 0.1190 0.0816
Pt 0.8534 0.8810 0.0816
Pt 0.1466 0.1190 0.5816
Pt 0.6466 0.8810 0.5816
Se 0.9242 0.3376 0.4426
Se 0.4242 0.6624 0.4426
Se 0.5758 0.3376 0.9426
Se 0.0758 0.6624 0.9426



First-principles (PBE-GGA) data for a relaxed AgPtSeO crystal, as listed in OQMD.

Calculated values
Uncorrected energy = -4.523 eV/atom
Symmetry = P2_12_12_1, No. 19
Total magnetization = 0.00 μB per cell

Lattice parameters (Å, degrees): 6.0436 8.1702 6.4815 90.00 90.00 90.00
Element x y z (fractional)
Ag 0.2520 0.1662 0.2061
Ag 0.7480 0.6662 0.2939
Ag 0.2480 0.8338 0.7061
Ag 0.7520 0.3338 0.7939
O 0.5938 0.0718 0.1768
O 0.4062 0.5718 0.3232
O 0.9062 0.9282 0.6768
O 0.0938 0.4282 0.8232
Pt 0.2509 0.4994 0.0730
Pt 0.7491 0.9994 0.4270
Pt 0.2491 0.5006 0.5730
Pt 0.7509 0.0006 0.9270
Se 0.0276 0.8899 0.1744
Se 0.9724 0.3899 0.3256
Se 0.4724 0.1101 0.6744
Se 0.5276 0.6101 0.8256



First-principles (PBE-GGA) data for a relaxed AgPtSeO crystal, as listed in OQMD.

Calculated values
Uncorrected energy = -4.333 eV/atom
Symmetry = P4/nmm, No. 129
Total magnetization = 0.00 μB per cell

Lattice parameters (Å, degrees): 4.4480 4.4480 7.1803 90.00 90.00 90.00
Element x y z (fractional)
Ag 0.7500 0.7500 0.2516
Ag 0.2500 0.2500 0.7484
O 0.2500 0.2500 0.4452
O 0.7500 0.7500 0.5548
Pt 0.7500 0.2500 0.0000
Pt 0.2500 0.7500 0.0000
Se 0.2500 0.2500 0.2073
Se 0.7500 0.7500 0.7927



First-principles (PBE-GGA) data for a relaxed Rb2AgO2 crystal, as listed in OQMD.

Calculated values
Uncorrected energy = -3.611 eV/atom
Symmetry = P2_12_12_1, No. 19

Lattice parameters (Å, degrees): 5.6238 7.2371 10.7840 90.00 90.00 90.00
Element x y z (fractional)
Ag 0.4637 0.3471 0.0016
Ag 0.5363 0.8471 0.4984
Ag 0.0363 0.6529 0.5016
Ag 0.9637 0.1529 0.9984
O 0.4618 0.6174 0.0751
O 0.2008 0.2488 0.1324
O 0.7992 0.7488 0.3676
O 0.5382 0.1174 0.4249
O 0.0382 0.3826 0.5751
O 0.2992 0.7512 0.6324
O 0.7008 0.2512 0.8676
O 0.9618 0.8826 0.9249
Rb 0.9731 0.6331 0.1256
Rb 0.5145 0.9486 0.1897
Rb 0.4855 0.4486 0.3103
Rb 0.0269 0.1331 0.3744
Rb 0.5269 0.3669 0.6256
Rb 0.9855 0.0514 0.6897
Rb 0.0145 0.5514 0.8103
Rb 0.4731 0.8669 0.8744



Number 1: calculated volume 260 Å³ per cell. Number 2: calculated volume 139 Å³ per cell. Number 3: calculated volume 249 Å³ per cell. Number 4: calculated volume 127 Å³ per cell. Number 5: calculated volume 136 Å³ per cell. Number 6: calculated volume 268 Å³ per cell. Number 7: calculated volume 145 Å³ per cell. Number 8: calculated volume 129 Å³ per cell. Number 9: calculated volume 275 Å³ per cell. Number 10: calculated volume 320 Å³ per cell. Number 11: calculated volume 142 Å³ per cell. Number 12: calculated volume 439 Å³ per cell.